Below is a geometry-optimized As2WCl structure, with properties calculated at the PBE-GGA level.

Cell and atoms, written as extended XYZ:
```
4
Lattice="-1.547 2.103 7.448 1.547 -2.103 7.448 1.547 2.103 -7.448" Properties=species:S:1:pos:R:3 pbc="T T T"
As 0.000 0.000 0.000
As 0.000 2.103 1.510
W 0.000 0.000 6.743
Cl 1.547 0.000 4.807
```

Computed properties:
uncorrected energy	-5.86	eV/atom
magnetic moment	0.0	μB per cell
formation energy without anion corrections	0.168	eV/atom